(1)
The following is a DFT calculation (meta-GGA SCAN) of a PBEsol-optimized structure of FeSeCl7.

Geometry as extended XYZ:
```
18
Lattice="6.3213 0.0082 0.0564 0.8826 8.2038 -0.0365 2.4833 0.4699 9.7799" Properties=species:S:1:pos:R:3 pbc="T T T"
Cl 6.3947 3.3172 6.7482
Cl 3.9055 4.1827 8.7100
Cl 8.7967 8.0091 7.3338
Cl 4.9314 5.0182 0.0924
Cl 5.6070 4.2926 3.4774
Cl 6.9828 0.6012 4.3263
Cl 2.3582 5.3838 4.9165
Cl 5.1322 0.7886 9.3358
Cl 5.5799 6.6648 6.2448
Cl 1.4928 6.0536 1.1989
Cl 4.5367 7.6924 2.7777
Cl 2.5741 2.8548 2.1332
Cl 3.5303 1.6835 5.5216
Cl 5.6879 1.5862 0.8406
Fe 6.5663 4.9241 5.3451
Fe 3.5908 1.0975 1.3049
Se 3.3023 8.0216 5.2609
Se 6.7804 4.1716 0.8869
```

(2)
The following is a DFT calculation (meta-GGA SCAN) of a PBEsol-optimized structure of FeSe2Cl.

Geometry as extended XYZ:
```
4
Lattice="3.1155 0.0000 0.0000 0.0000 4.8370 0.0000 -1.5577 -2.4185 5.8891" Properties=species:S:1:pos:R:3 pbc="T T T"
Cl 1.5577 2.4185 1.0757
Se 1.5577 0.0000 3.4903
Se 1.5577 2.4185 4.4735
Fe 0.0000 2.4185 2.7387
```

(3)
The following is a DFT calculation (meta-GGA SCAN) of a PBEsol-optimized structure of FeSiCl2.

Geometry as extended XYZ:
```
4
Lattice="-1.4563 2.3015 1.2020 -2.1623 -1.8380 0.8995 3.6922 -1.1123 6.6029" Properties=species:S:1:pos:R:3 pbc="T T T"
Fe 1.9149 -0.5769 3.4244
Cl -0.5567 -0.1456 3.2908
Cl 3.4448 -1.0378 6.1605
Si 0.8090 -0.5570 5.7331
```

Calculated values
Polymorph energy (0 for the lowest one): 0.06 eV/f.u.

(4)
The following is a DFT calculation (meta-GGA SCAN) of a PBEsol-optimized structure of FeSi4Cl.

Geometry as extended XYZ:
```
6
Lattice="5.0591 0.0000 0.0000 2.5296 4.3813 0.0000 2.5296 1.4604 4.1307" Properties=species:S:1:pos:R:3 pbc="T T T"
Si 5.0591 2.9209 3.5983
Si 3.8075 2.1983 1.5544
Si 6.3107 2.1983 1.5544
Si 5.0591 4.3661 1.5544
Cl 7.5887 4.3813 3.0981
Fe 0.0000 0.0000 0.0000
```

Calculated values (kJ/mol of formula units) of E_form (uncorrected) for the records, taken in order: -579 -70 -11 406.
Calculated values (eV per cell) of energy for the records, taken in order: -200.1 -67.0 -44.2 -62.0.